(1)
This record from Alexandria via LeMat-Bulk describes ZnRu3 at its PBEsol-relaxed geometry. The functional is SCAN.

Summary:
ΔH_f (0 K) = 0.5 eV per formula unit
space group = Pmmm (47)

Cell lengths 2.698, 3.803, 5.179 Å; angles 90.00, 90.00, 90.00 degrees
Element x y z (fractional)
Ru  0.000  0.000  0.755
Ru  0.500  0.500  0.500
Ru  0.000  0.000  0.245
Zn  0.500  0.500  0.000

---

(2)
This record from Alexandria via LeMat-Bulk describes CaC2N2O2 at its PBEsol-relaxed geometry. The functional is SCAN.

Summary:
uncorrected formation energy = -9.69 eV per formula unit
space group = R3c (161)

Cell lengths 7.748, 7.748, 7.748 Å; angles 95.89, 95.89, 95.89 degrees
Element x y z (fractional)
C  0.554  0.598  0.379
C  0.098  0.054  0.879
C  0.879  0.098  0.054
C  0.598  0.379  0.554
C  0.357  0.128  0.264
C  0.128  0.264  0.357
C  0.628  0.857  0.764
C  0.264  0.357  0.128
C  0.379  0.554  0.598
C  0.857  0.764  0.628
C  0.054  0.879  0.098
C  0.764  0.628  0.857
O  0.277  0.453  0.000
O  0.106  0.756  0.184
O  0.777  0.500  0.953
O  0.953  0.777  0.500
O  0.756  0.184  0.106
O  0.000  0.277  0.453
O  0.453  0.000  0.277
O  0.606  0.684  0.256
O  0.684  0.256  0.606
O  0.500  0.953  0.777
O  0.256  0.606  0.684
O  0.184  0.106  0.756
N  0.644  0.464  0.419
N  0.144  0.919  0.964
N  0.464  0.419  0.644
N  0.640  0.735  0.877
N  0.235  0.140  0.377
N  0.919  0.964  0.144
N  0.735  0.877  0.640
N  0.964  0.144  0.919
N  0.419  0.644  0.464
N  0.140  0.377  0.235
N  0.877  0.640  0.735
N  0.377  0.235  0.140
Ca  0.038  0.385  0.750
Ca  0.750  0.038  0.385
Ca  0.385  0.750  0.038
Ca  0.538  0.250  0.885
Ca  0.250  0.885  0.538
Ca  0.885  0.538  0.250

---

(3)
This record from Alexandria via LeMat-Bulk describes Ca2AgI at its PBEsol-relaxed geometry. The functional is SCAN.

Summary:
uncorrected formation energy = -1.67 eV per formula unit
space group = Fm-3m (225)

Cell lengths 5.411, 5.411, 5.411 Å; angles 60.00, 60.00, 60.00 degrees
Element x y z (fractional)
Ca  0.250  0.250  0.250
Ca  0.750  0.750  0.750
I  0.500  0.500  0.500
Ag  0.000  0.000  0.000

---

(4)
This record from Alexandria via LeMat-Bulk describes LaFeAsO at its PBEsol-relaxed geometry. The functional is SCAN.

Summary:
uncorrected formation energy = -8.08 eV per formula unit

Cell lengths 5.646, 5.585, 9.411 Å; angles 107.26, 107.45, 90.00 degrees
Last column: magnetic moment on the atom in μB.
Element x y z (fractional)
O  0.250  0.500  0.000  0.00
O  0.250  0.000  0.000  0.00
O  0.750  0.000  0.000  0.00
O  0.750  0.500  0.000  0.00
La  0.427  0.177  0.854  0.00
La  0.573  0.823  0.146  0.00
La  0.927  0.677  0.854  0.00
La  0.073  0.323  0.146  0.00
As  0.678  0.428  0.356  0.00
As  0.822  0.072  0.644  0.00
As  0.322  0.572  0.644  0.00
As  0.178  0.928  0.356  0.00
Fe  0.000  0.250  0.500  2.50
Fe  0.000  0.750  0.500  -2.50
Fe  0.500  0.750  0.500  -2.50
Fe  0.500  0.250  0.500  2.50

---

(5)
This record from Alexandria via LeMat-Bulk describes MgOs at its PBEsol-relaxed geometry. The functional is SCAN.

Summary:
ΔH_f (0 K) = 0.0 eV per formula unit
space group = P4/nmm (129)

Cell lengths 2.855, 2.855, 8.159 Å; angles 90.00, 90.00, 90.00 degrees
Element x y z (fractional)
Mg  0.500  0.000  0.663
Mg  0.000  0.500  0.337
Os  0.000  0.500  0.902
Os  0.500  0.000  0.098

---

(6)
This record from Alexandria via LeMat-Bulk describes HSeI3 at its PBEsol-relaxed geometry. The functional is SCAN.

Summary:
DFT total energy = -26.17 eV per atom
space group = Pm-3m (221)

Cell lengths 5.653, 5.653, 5.653 Å; angles 90.00, 90.00, 90.00 degrees
Last column: magnetic moment on the atom in μB.
Element x y z (fractional)
I  0.000  0.000  0.500  -0.01
I  0.000  0.500  0.000  -0.01
I  0.500  0.000  0.000  -0.01
H  0.500  0.500  0.500  0.37
Se  0.000  0.000  0.000  -0.04

---

(7)
This record from Alexandria via LeMat-Bulk describes FeSnTe2N at its PBEsol-relaxed geometry. The functional is SCAN.

Summary:
uncorrected formation energy = 5.73 eV per formula unit
space group = P4/mmm (123)

Cell lengths 3.831, 5.730, 5.730 Å; angles 90.00, 90.00, 90.00 degrees
Last column: magnetic moment on the atom in μB.
Element x y z (fractional)
Sn  0.000  0.000  0.000  -0.10
N  0.500  0.000  0.000  0.42
Te  0.000  0.000  0.500  0.05
Te  0.000  0.500  0.000  0.05
Fe  0.500  0.500  0.500  3.45

---

(8)
This record from Alexandria via LeMat-Bulk describes SrWAu at its PBEsol-relaxed geometry. The functional is SCAN.

Summary:
energy above the lowest structure with this stoichiometry = 388.2 meV/atom
ΔH_f (0 K) = 3.0 eV per formula unit
space group = P3m1 (156)

Cell lengths 3.009, 3.009, 7.684 Å; angles 90.00, 90.00, 120.00 degrees
Element x y z (fractional)
Sr  0.333  0.667  0.666
W  0.667  0.333  0.312
Au  0.000  0.000  0.022

---

(9)
This record from Alexandria via LeMat-Bulk describes Mg4In5 at its PBEsol-relaxed geometry. The functional is SCAN.

Summary:
energy above the lowest structure with this stoichiometry = 0.0 meV/atom
ΔH_f (0 K) = -0.9 eV per formula unit
space group = I4/mmm (139)

Cell lengths 4.578, 7.125, 7.125 Å; angles 84.08, 71.26, 71.26 degrees
Element x y z (fractional)
In  0.670  0.000  0.661
In  0.330  0.000  0.339
In  0.000  0.000  0.000
In  0.330  0.339  0.000
In  0.670  0.661  0.000
Mg  0.333  0.667  0.667
Mg  0.667  0.333  0.333
Mg  0.000  0.667  0.333
Mg  0.000  0.333  0.667

---

(10)
This record from Alexandria via LeMat-Bulk describes RbIn2Ag2 at its PBEsol-relaxed geometry. The functional is SCAN.

Summary:
ΔH_f (0 K) = -0.4 eV per formula unit
space group = I4/mmm (139)

Cell lengths 5.067, 5.067, 6.388 Å; angles 113.37, 113.37, 90.00 degrees
Element x y z (fractional)
In  0.358  0.358  0.715
In  0.642  0.642  0.285
Rb  0.000  0.000  0.000
Ag  0.250  0.750  0.500
Ag  0.750  0.250  0.500

---

(11)
This record from Alexandria via LeMat-Bulk describes Hf2TiZnN at its PBEsol-relaxed geometry. The functional is SCAN.

Summary:
uncorrected formation energy = -4.66 eV per formula unit
space group = P4/mmm (123)

Cell lengths 4.038, 4.359, 4.359 Å; angles 90.00, 90.00, 90.00 degrees
Last column: magnetic moment on the atom in μB.
Element x y z (fractional)
Ti  0.500  0.000  0.000  0.45
Hf  0.000  0.000  0.500  0.05
Hf  0.000  0.500  0.000  0.05
Zn  0.500  0.500  0.500  -0.01
N  0.000  0.000  0.000  -0.02

---

(12)
This record from Alexandria via LeMat-Bulk describes In2CuAu at its PBEsol-relaxed geometry. The functional is SCAN.

Summary:
ΔH_f (0 K) = 0.0 eV per formula unit
space group = P4/mmm (123)

Cell lengths 3.615, 3.610, 5.673 Å; angles 90.00, 90.06, 90.00 degrees
Element x y z (fractional)
Cu  0.500  0.500  0.500
Au  0.500  0.500  0.000
In  0.001  0.000  0.255
In  0.999  0.000  0.745

---

(13)
This record from Alexandria via LeMat-Bulk describes Cd2In at its PBEsol-relaxed geometry. The functional is SCAN.

Summary:
ΔH_f (0 K) = 0.1 eV per formula unit
space group = C2/m (12)

Cell lengths 3.096, 5.433, 8.877 Å; angles 110.30, 90.00, 106.56 degrees
Element x y z (fractional)
In  0.164  0.328  0.093
In  0.836  0.672  0.907
Cd  0.491  0.982  0.259
Cd  0.509  0.018  0.741
Cd  0.835  0.670  0.427
Cd  0.165  0.330  0.573

---

(14)
This record from Alexandria via LeMat-Bulk describes Tl2As at its PBEsol-relaxed geometry. The functional is SCAN.

Summary:
energy above the lowest structure with this stoichiometry = 55.4 meV/atom
ΔH_f (0 K) = 0.3 eV per formula unit
space group = Fm-3m (225)

Cell lengths 4.969, 4.969, 4.969 Å; angles 60.00, 60.00, 60.00 degrees
Element x y z (fractional)
Tl  0.250  0.250  0.250
Tl  0.750  0.750  0.750
As  0.000  0.000  0.000

---

(15)
This record from Alexandria via LeMat-Bulk describes SrYAg2 at its PBEsol-relaxed geometry. The functional is SCAN.

Summary:
energy above the lowest structure with this stoichiometry = 0.0 meV/atom
ΔH_f (0 K) = -1.2 eV per formula unit
space group = P4/mmm (123)

Cell lengths 3.586, 5.273, 5.273 Å; angles 89.99, 90.00, 90.00 degrees
Element x y z (fractional)
Ag  0.000  0.500  0.000
Ag  0.000  0.000  0.500
Sr  0.500  0.000  0.000
Y  0.500  0.500  0.500

---

(16)
This record from Alexandria via LeMat-Bulk describes SrRu2Pt at its PBEsol-relaxed geometry. The functional is SCAN.

Summary:
energy above the lowest structure with this stoichiometry = 101.6 meV/atom
ΔH_f (0 K) = 1.1 eV per formula unit
space group = Pm (6)

Cell lengths 2.774, 4.199, 6.394 Å; angles 90.00, 102.70, 90.00 degrees
Last column: magnetic moment on the atom in μB.
Element x y z (fractional)
Sr  0.443  0.000  0.516  -0.01
Ru  0.208  0.000  0.037  0.31
Ru  0.769  0.500  0.159  -0.06
Pt  0.080  0.500  0.787  0.03

---

(17)
This record from Alexandria via LeMat-Bulk describes Cu3Ni at its PBEsol-relaxed geometry. The functional is SCAN.

Summary:
ΔH_f (0 K) = 0.2 eV per formula unit
space group = P-6m2 (187)

Cell lengths 2.483, 2.483, 8.232 Å; angles 90.00, 90.00, 120.00 degrees
Element x y z (fractional)
Cu  0.333  0.667  0.000
Cu  0.000  0.000  0.747
Cu  0.000  0.000  0.253
Ni  0.333  0.667  0.500

---

(18)
This record from Alexandria via LeMat-Bulk describes TlNi6Sb at its PBEsol-relaxed geometry. The functional is SCAN.

Summary:
uncorrected formation energy = 0.62 eV per formula unit
space group = Cmmm (65)

Cell lengths 6.400, 6.400, 10.459 Å; angles 90.00, 90.00, 109.48 degrees
Element x y z (fractional)
Ni  0.371  0.121  0.622
Ni  0.000  0.000  0.500
Ni  0.630  0.880  0.128
Ni  0.880  0.630  0.872
Ni  0.500  0.500  0.500
Ni  0.249  0.751  0.745
Ni  0.120  0.370  0.128
Ni  0.880  0.630  0.128
Ni  0.629  0.879  0.622
Ni  0.000  0.000  0.000
Ni  0.500  0.500  0.000
Ni  0.751  0.249  0.745
Ni  0.879  0.629  0.378
Ni  0.879  0.629  0.622
Ni  0.121  0.371  0.378
Ni  0.751  0.249  0.255
Ni  0.630  0.880  0.872
Ni  0.121  0.371  0.622
Ni  0.629  0.879  0.378
Ni  0.370  0.120  0.872
Ni  0.370  0.120  0.128
Ni  0.120  0.370  0.872
Ni  0.371  0.121  0.378
Ni  0.249  0.751  0.255
Tl  0.253  0.747  0.000
Tl  0.747  0.253  0.000
Tl  0.500  0.500  0.751
Tl  0.500  0.500  0.249
Sb  0.000  0.000  0.752
Sb  0.748  0.252  0.500
Sb  0.252  0.748  0.500
Sb  0.000  0.000  0.248

---

(19)
This record from Alexandria via LeMat-Bulk describes Bi3O4F at its PBEsol-relaxed geometry. The functional is SCAN.

Summary:
energy above the lowest structure with this stoichiometry = 0.0 meV/atom
uncorrected formation energy = -10.70 eV per formula unit
space group = P2/c (13)

Cell lengths 5.557, 5.554, 8.591 Å; angles 90.00, 101.47, 90.00 degrees
Element x y z (fractional)
Bi  0.250  0.760  0.500
Bi  0.357  0.260  0.806
Bi  0.643  0.740  0.194
Bi  0.750  0.240  0.500
Bi  0.143  0.260  0.194
Bi  0.857  0.740  0.806
O  0.550  0.505  0.674
O  0.450  0.994  0.324
O  0.950  0.505  0.326
O  0.050  0.994  0.676
O  0.450  0.495  0.326
O  0.050  0.495  0.674
O  0.950  0.006  0.324
O  0.550  0.006  0.676
F  0.750  0.344  0.000
F  0.250  0.656  0.000

---

(20)
This record from Alexandria via LeMat-Bulk describes CrMo2 at its PBEsol-relaxed geometry. The functional is SCAN.

Summary:
energy above the lowest structure with this stoichiometry = 0.0 meV/atom
ΔH_f (0 K) = 0.2 eV per formula unit
space group = Cmcm (63)

Cell lengths 3.040, 4.298, 6.596 Å; angles 90.00, 103.32, 90.00 degrees
Element x y z (fractional)
Mo  0.579  0.750  0.158
Mo  0.421  0.250  0.842
Mo  0.251  0.750  0.503
Mo  0.749  0.250  0.497
Cr  0.919  0.750  0.838
Cr  0.081  0.250  0.162

---

(21)
This record from Alexandria via LeMat-Bulk describes Sb3As2 at its PBEsol-relaxed geometry. The functional is SCAN.

Summary:
uncorrected formation energy = 0.30 eV per formula unit
space group = R-3m (166)

Cell lengths 4.113, 4.113, 8.802 Å; angles 76.49, 76.49, 60.00 degrees
Element x y z (fractional)
As  0.602  0.602  0.194
As  0.398  0.398  0.806
Sb  0.796  0.796  0.611
Sb  0.204  0.204  0.389
Sb  0.000  0.000  0.000

---

(22)
This record from Alexandria via LeMat-Bulk describes K3RbAg at its PBEsol-relaxed geometry. The functional is SCAN.

Summary:
ΔH_f (0 K) = 0.3 eV per formula unit
space group = Pm-3m (221)

Cell lengths 6.671, 6.671, 6.671 Å; angles 90.00, 90.00, 90.00 degrees
Element x y z (fractional)
K  0.500  0.000  0.000
K  0.000  0.500  0.000
K  0.000  0.000  0.500
Ag  0.000  0.000  0.000
Rb  0.500  0.500  0.500

---

(23)
This record from Alexandria via LeMat-Bulk describes Ag2CO3 at its PBEsol-relaxed geometry. The functional is SCAN.

Summary:
energy above the lowest structure with this stoichiometry = 0.0 meV/atom
uncorrected formation energy = -5.08 eV per formula unit
space group = P2_1/m (11)

Cell lengths 3.129, 4.936, 9.593 Å; angles 90.00, 90.00, 95.48 degrees
Element x y z (fractional)
Ag  0.755  0.801  0.069
Ag  0.245  0.199  0.569
Ag  0.245  0.199  0.931
Ag  0.755  0.801  0.431
O  0.719  0.594  0.866
O  0.281  0.406  0.134
O  0.719  0.594  0.634
O  0.281  0.406  0.366
O  0.986  0.039  0.250
O  0.014  0.961  0.750
C  0.816  0.716  0.750
C  0.184  0.284  0.250

---

(24)
This record from Alexandria via LeMat-Bulk describes FeTcAs2P at its PBEsol-relaxed geometry. The functional is SCAN.

Summary:
ΔH_f (0 K) = 4.3 eV per formula unit
space group = P4/mmm (123)

Cell lengths 4.078, 4.531, 4.531 Å; angles 90.00, 90.00, 90.00 degrees
Last column: magnetic moment on the atom in μB.
Element x y z (fractional)
Tc  0.500  0.500  0.500  2.87
As  0.000  0.500  0.000  -0.10
As  0.000  0.000  0.500  -0.10
P  0.500  0.000  0.000  -0.12
Fe  0.000  0.000  0.000  -1.49